Entry 1:
The following is a PBE-GGA calculation of a relaxed RbSrPS4 crystal, from Alexandria.

```
data_RbSrPS4
_space_group_name_H-M_alt 'P 1 21/m 1'
_space_group_IT_number 11
_space_group_name_Hall '-P 2yb'
_cell_length_a 6.731
_cell_length_b 6.759
_cell_length_c 9.235
_cell_angle_alpha 90.00
_cell_angle_beta 107.02
_cell_angle_gamma 90.00
loop_
_atom_site_label
_atom_site_type_symbol
_atom_site_fract_x
_atom_site_fract_y
_atom_site_fract_z
Rb1 Rb 0.227 0.250 0.434
Sr1 Sr 0.267 0.250 0.955
P1 P 0.300 0.750 0.186
S1 S 0.107 0.750 0.321
S2 S 0.137 0.750 0.959
S3 S 0.493 0.507 0.229
```

=====

Entry 2:
# RbTaP2S, relaxed, DFT PBE-GGA
# **Energy above the lowest structure with this stoichiometry**: 0 meV/atom
data_RbTaP2S
_space_group_name_H-M_alt 'P 4/m m m'
_space_group_IT_number 123
_space_group_name_Hall '-P 4 2'
_cell_length_a 4.928
_cell_length_b 4.928
_cell_length_c 4.927
_cell_angle_alpha 90.00
_cell_angle_beta 90.00
_cell_angle_gamma 90.00
loop_
_atom_site_label
_atom_site_type_symbol
_atom_site_fract_x
_atom_site_fract_y
_atom_site_fract_z
Rb1 Rb 0.000 0.000 0.000
Ta1 Ta 0.500 0.500 0.500
P1 P 0.000 0.500 0.500
S1 S 0.500 0.500 0.000

=====

Entry 3:
# RbTaP2S, relaxed, DFT PBE-GGA
# **Energy above the lowest structure with this stoichiometry**: 2770 meV/atom
data_RbTaP2S
_space_group_name_H-M_alt 'P 4/m m m'
_space_group_IT_number 123
_space_group_name_Hall '-P 4 2'
_cell_length_a 4.999
_cell_length_b 4.999
_cell_length_c 5.113
_cell_angle_alpha 90.00
_cell_angle_beta 90.00
_cell_angle_gamma 90.00
loop_
_atom_site_label
_atom_site_type_symbol
_atom_site_fract_x
_atom_site_fract_y
_atom_site_fract_z
Rb1 Rb 0.000 0.000 0.000
Ta1 Ta 0.500 0.500 0.500
P1 P 0.000 0.500 0.000
S1 S 0.000 0.000 0.500

=====

Entry 4:
# RbTaPS2, relaxed, DFT PBE-GGA
# **Energy above the lowest structure with this stoichiometry**: 2919 meV/atom
data_RbTaPS2
_space_group_name_H-M_alt 'P 4/m m m'
_space_group_IT_number 123
_space_group_name_Hall '-P 4 2'
_cell_length_a 5.130
_cell_length_b 5.130
_cell_length_c 5.098
_cell_angle_alpha 90.00
_cell_angle_beta 90.00
_cell_angle_gamma 90.00
loop_
_atom_site_label
_atom_site_type_symbol
_atom_site_fract_x
_atom_site_fract_y
_atom_site_fract_z
Rb1 Rb 0.000 0.000 0.000
Ta1 Ta 0.500 0.500 0.500
P1 P 0.000 0.000 0.500
S1 S 0.000 0.500 0.000

=====

Entry 5:
# RbTaPS2, relaxed, DFT PBE-GGA
# **Energy above the lowest structure with this stoichiometry**: 0 meV/atom
data_RbTaPS2
_space_group_name_H-M_alt 'P 4/m m m'
_space_group_IT_number 123
_space_group_name_Hall '-P 4 2'
_cell_length_a 4.896
_cell_length_b 4.896
_cell_length_c 4.935
_cell_angle_alpha 90.00
_cell_angle_beta 90.00
_cell_angle_gamma 90.00
loop_
_atom_site_label
_atom_site_type_symbol
_atom_site_fract_x
_atom_site_fract_y
_atom_site_fract_z
Rb1 Rb 0.000 0.000 0.000
Ta1 Ta 0.500 0.500 0.500
P1 P 0.500 0.500 0.000
S1 S 0.000 0.500 0.500

=====

Entry 6:
The following is a PBE-GGA calculation of a relaxed RbTaPS6 crystal, from Alexandria.

```
data_RbTaPS6
_space_group_name_H-M_alt 'P 3 1 2'
_space_group_IT_number 149
_space_group_name_Hall 'P 3 2'
_cell_length_a 6.0975
_cell_length_b 6.0975
_cell_length_c 7.7510
_cell_angle_alpha 90.00
_cell_angle_beta 90.00
_cell_angle_gamma 120.00
loop_
_atom_site_label
_atom_site_type_symbol
_atom_site_fract_x
_atom_site_fract_y
_atom_site_fract_z
Rb1 Rb 0.0000 0.0000 0.0000
Ta1 Ta 0.3333 0.6667 0.5000
P1 P 0.6667 0.3333 0.5000
S1 S 0.3860 0.0223 0.6734
```

=====

Entry 7:
# RbTcP2S, relaxed, DFT PBE-GGA
# **Energy above the lowest structure with this stoichiometry**: 0 meV/atom
data_RbTcP2S
_space_group_name_H-M_alt 'P 4/m m m'
_space_group_IT_number 123
_space_group_name_Hall '-P 4 2'
_cell_length_a 4.610
_cell_length_b 4.610
_cell_length_c 5.303
_cell_angle_alpha 90.00
_cell_angle_beta 90.00
_cell_angle_gamma 90.00
loop_
_atom_site_label
_atom_site_type_symbol
_atom_site_fract_x
_atom_site_fract_y
_atom_site_fract_z
Rb1 Rb 0.000 0.000 0.000
Tc1 Tc 0.500 0.500 0.500
P1 P 0.000 0.500 0.500
S1 S 0.500 0.500 0.000

=====

Entry 8:
The following is a PBE-GGA calculation of a relaxed RbTcP2S8 crystal, from Alexandria.

```
data_RbTcP2S8
_space_group_name_H-M_alt 'R -3'
_space_group_IT_number 148
_space_group_name_Hall '-R 3'
_cell_length_a 5.9430
_cell_length_b 5.9430
_cell_length_c 29.4241
_cell_angle_alpha 90.00
_cell_angle_beta 90.00
_cell_angle_gamma 120.00
loop_
_atom_site_label
_atom_site_type_symbol
_atom_site_fract_x
_atom_site_fract_y
_atom_site_fract_z
Rb1 Rb 0.0000 0.0000 0.0000
Tc1 Tc 0.0000 0.0000 0.5000
P1 P 0.0000 0.0000 0.2322
S1 S 0.0000 0.0000 0.2997
S2 S 0.0002 0.3270 0.1232
```

=====

no.,magnetization (μB per formula unit),uncorrected formation energy (eV/atom)
1,0.0,-1.181
2,0.4,-0.310
3,0.0,2.460
4,0.0,2.298
5,0.0,-0.621
6,0.0,-0.475
7,0.0,0.040
8,0.0,-0.322